(1)
This record from Alexandria via LeMat-Bulk describes Rb2BaAgF6 after structural relaxation. The functional is GGA-PBE.

- Space-group type: I4/mmm (139)
- Uncorrected formation energy: -2.5224 eV/atom
- Density of states at the Fermi level: 0.000 states/eV/cell

The structure in POSCAR format:
```
Rb2BaAgF6
1.0
6.606 0.000 0.000
0.000 6.606 0.000
3.303 3.303 5.068
Rb Ba Ag F
2 1 1 6
Direct
0.750 0.250 0.500
0.250 0.750 0.500
0.000 0.000 0.000
0.500 0.500 0.000
0.249 0.249 0.502
0.751 0.751 0.498
0.271 0.271 0.000
0.729 0.729 0.000
0.729 0.271 0.000
0.271 0.729 0.000
```

=====

(2)
This record from Alexandria via LeMat-Bulk describes La2TbCd after structural relaxation. The functional is GGA-PBE.

- Formation enthalpy at 0 K: 0.57 eV/f.u.
- Space-group type: R-3m (166)
- Density of states at the Fermi level: 4.880 states/eV/cell

The structure in POSCAR format:
```
La2TbCd
1.0
3.558 0.000 0.000
1.779 3.082 0.000
1.779 1.027 12.644
Cd Tb La
1 1 2
Direct
0.000 0.000 0.000
0.500 0.500 0.500
0.089 0.089 0.732
0.911 0.911 0.268
```

=====

(3)
This record from Alexandria via LeMat-Bulk describes SrLiZnAu3 after structural relaxation. The functional is GGA-PBE.

- Formation enthalpy at 0 K: -2.57 eV/f.u.
- Space-group type: Cmcm (63)
- Density of states at the Fermi level: 4.019 states/eV/cell

The structure in POSCAR format:
```
SrLiZnAu3
1.0
-1.726 -5.096 -3.108
5.265 -3.310 2.502
-6.055 -0.135 3.583
Sr Li Zn Au
2 2 2 6
Direct
0.750 0.295 0.591
0.250 0.705 0.409
0.250 0.950 0.901
0.750 0.050 0.099
0.250 0.368 0.737
0.750 0.632 0.263
0.250 0.160 0.320
0.000 0.282 0.000
0.500 0.718 0.000
0.500 0.282 0.000
0.000 0.718 0.000
0.750 0.840 0.680
```

=====

(4)
This record from Alexandria via LeMat-Bulk describes ZnCu6Au2 after structural relaxation. The functional is GGA-PBE.

- Formation enthalpy at 0 K: 0.01 eV/f.u.
- Space-group type: C2/m (12)
- Density of states at the Fermi level: 2.444 states/eV/cell

The structure in POSCAR format:
```
ZnCu6Au2
1.0
-5.234 3.436 2.576
-2.246 -3.342 2.180
0.941 -0.208 4.477
Zn Cu Au
1 6 2
Direct
0.000 0.000 0.000
0.313 0.291 0.782
0.496 0.752 0.752
0.313 0.782 0.291
0.687 0.709 0.218
0.504 0.248 0.248
0.687 0.218 0.709
0.911 0.681 0.681
0.089 0.319 0.319
```